# LaMgSCl2 | Alexandria | PBE-GGA | optimized geometry
# Energy above the lowest structure with this stoichiometry in eV/atom: 0.000
# Formation energy without anion corrections in eV per atom: -1.499
data_LaMgSCl2
_chemical_formula_sum 'La1 Mg1 S1 Cl2'
_cell_length_a 4.7608
_cell_length_b 4.7608
_cell_length_c 5.0548
_cell_angle_alpha 90.00
_cell_angle_beta 90.00
_cell_angle_gamma 90.00
_space_group_name_H-M_alt 'P 4/m m m'
_space_group_IT_number 123
_space_group_name_Hall '-P 4 2'
loop_
_atom_site_label
_atom_site_type_symbol
_atom_site_fract_x
_atom_site_fract_y
_atom_site_fract_z
_atom_site_occupancy
La1 La 0.0000 0.0000 0.0000 1
Mg1 Mg 0.5000 0.5000 0.5000 1
S1 S 0.5000 0.5000 0.0000 1
Cl1 Cl 0.0000 0.5000 0.5000 1

# LiNd3Co | Alexandria | PBE-GGA | optimized geometry
# Energy above the lowest structure with this stoichiometry in eV/atom: 0.044
data_LiNd3Co
_chemical_formula_sum 'Li4 Nd12 Co4'
_cell_length_a 12.7144
_cell_length_b 7.3327
_cell_length_c 7.7727
_cell_angle_alpha 90.00
_cell_angle_beta 123.12
_cell_angle_gamma 90.00
_space_group_name_H-M_alt 'C 1 2/m 1'
_space_group_IT_number 12
_space_group_name_Hall '-C 2y'
loop_
_atom_site_label
_atom_site_type_symbol
_atom_site_fract_x
_atom_site_fract_y
_atom_site_fract_z
_atom_site_occupancy
Li1 Li 0.0822 0.0000 0.2462 1
Nd1 Nd 0.0914 0.5000 0.2672 1
Nd2 Nd 0.1620 0.2470 0.7331 1
Co1 Co 0.1691 0.5000 0.0081 1

no.,DFT total energy (eV/atom)
1,-4.368
2,-4.540